one) # Ca2AuCl PBE-GGA relaxed
# Fermi-level density of states in states/eV/cell: 2.9
# Calculated density in Mg/m³: 4.81
# Calculated volume in Å³ per cell: 431.8
data_Ca2AuCl
_cell_length_a 7.559
_cell_length_b 7.559
_cell_length_c 7.559
_cell_angle_alpha 90.00
_cell_angle_beta 90.00
_cell_angle_gamma 90.00
_space_group_name_H-M_alt 'F -4 3 m'
_space_group_IT_number 216
_space_group_name_Hall 'F -4 2 3'
loop_
_atom_site_label
_atom_site_fract_x
_atom_site_fract_y
_atom_site_fract_z
Ca1 0.000 0.000 0.000
Ca2 0.250 0.250 0.250
Au1 0.000 0.000 0.500
Cl1 0.250 0.250 0.750

=====

two) # Ca2AuCl PBE-GGA relaxed
# Fermi-level density of states in states/eV/cell: 4.0
# Calculated density in Mg/m³: 4.76
# Calculated volume in Å³ per cell: 218.2
data_Ca2AuCl
_cell_length_a 4.160
_cell_length_b 6.262
_cell_length_c 8.375
_cell_angle_alpha 90.00
_cell_angle_beta 90.00
_cell_angle_gamma 90.00
_space_group_name_H-M_alt 'I m m m'
_space_group_IT_number 71
_space_group_name_Hall '-I 2 2'
loop_
_atom_site_label
_atom_site_fract_x
_atom_site_fract_y
_atom_site_fract_z
Ca1 0.000 0.000 0.232
Au1 0.000 0.500 0.000
Cl1 0.000 0.500 0.500

=====

three) # Ca2AuCl PBE-GGA relaxed
# Fermi-level density of states in states/eV/cell: 5.1
# Calculated density in Mg/m³: 4.42
# Calculated volume in Å³ per cell: 470.0
data_Ca2AuCl
_cell_length_a 7.609
_cell_length_b 7.609
_cell_length_c 8.119
_cell_angle_alpha 90.00
_cell_angle_beta 90.00
_cell_angle_gamma 90.00
_space_group_name_H-M_alt 'I -4 2 d'
_space_group_IT_number 122
_space_group_name_Hall 'I -4 2bw'
loop_
_atom_site_label
_atom_site_fract_x
_atom_site_fract_y
_atom_site_fract_z
Ca1 0.240 0.250 0.125
Au1 0.000 0.000 0.500
Cl1 0.000 0.000 0.000

=====

The energetic minimum among the shown structures is three); the next structure lies 52 meV/atom above.